Material: Dy2CuB3Pt12
Method: DFT, GGA-PBE
State: optimized geometry

a b c (Å): 7.278 7.278 7.278
angles (deg): 66.11 66.11 66.11
Fractional coordinates of all 18 atoms:
Dy 0.106 0.106 0.106
Dy 0.894 0.894 0.894
Cu 0.500 0.500 0.500
B 0.000 0.500 0.500
B 0.500 0.000 0.500
B 0.500 0.500 0.000
Pt 0.119 0.627 0.627
Pt 0.172 0.172 0.591
Pt 0.172 0.591 0.172
Pt 0.373 0.373 0.881
Pt 0.373 0.881 0.373
Pt 0.409 0.828 0.828
Pt 0.591 0.172 0.172
Pt 0.627 0.119 0.627
Pt 0.627 0.627 0.119
Pt 0.828 0.409 0.828
Pt 0.828 0.828 0.409
Pt 0.881 0.373 0.373

Properties
M_tot = 0.00 μB/cell
SG = R-3m (166)
Uncorrected energy = -6.2731 eV per atom
Crystal system = trigonal

***

Material: Mg5Rh4Pb
Method: DFT, GGA-PBE
State: optimized geometry

a b c (Å): 3.201 3.201 16.734
angles (deg): 90.00 90.00 90.00
Fractional coordinates of all 10 atoms:
Mg 0.000 0.000 0.000
Mg 0.000 0.000 0.181
Mg 0.000 0.000 0.358
Mg 0.000 0.000 0.642
Mg 0.000 0.000 0.819
Rh 0.500 0.500 0.090
Rh 0.500 0.500 0.274
Rh 0.500 0.500 0.726
Rh 0.500 0.500 0.910
Pb 0.500 0.500 0.500

Properties
M_tot = 0.00 μB/cell
SG = P4/mmm (123)
Uncorrected energy = -4.5084 eV per atom
Crystal system = tetragonal

***

Material: HfZn2Cu
Method: DFT, GGA-PBE
State: optimized geometry

a b c (Å): 5.711 5.711 5.711
angles (deg): 102.87 102.87 123.68
Fractional coordinates of all 8 atoms:
Hf 0.000 0.000 0.000
Hf 0.750 0.250 0.500
Zn 0.164 0.125 0.539
Zn 0.375 0.836 0.961
Zn 0.586 0.625 0.461
Zn 0.875 0.414 0.039
Cu 0.250 0.750 0.500
Cu 0.500 0.500 0.000

Properties
M_tot = 0.00 μB/cell
SG = I-42d (122)
Uncorrected energy = -3.9925 eV per atom
Crystal system = tetragonal

***

no.,ΔH_f (0 K) (kJ/mol of atoms)
1,-38.0
2,-38.6
3,15.1